[1]
Material: LaPrTm2
Method: DFT, PBE-GGA
State: relaxed

Unit cell a=3.687 b=3.687 c=9.790 alpha=90.00 beta=90.00 gamma=90.00
Space group P4/mmm (No. 123)
Inequivalent atoms, fractional coordinates:
1 La 0.000 0.000 0.000 x1
2 Pr 0.000 0.000 0.500 x1
3 Tm 0.500 0.500 0.251 x2

Properties
E_form: 27 meV/atom
ΔE to the lowest computed polymorph: 8.9 meV/atom
Total magnetic moment: 0.00 μB per cell

[2]
Material: LaPr2Tm3
Method: DFT, PBE-GGA
State: relaxed

Unit cell a=17.961 b=3.529 c=14.361 alpha=90.00 beta=117.24 gamma=90.00
Space group C2/m (No. 12)
Inequivalent atoms, fractional coordinates:
1 La 0.061 0.000 0.145 x4
2 Pr 0.155 0.000 0.967 x4
3 Pr 0.182 0.500 0.382 x4
4 Tm 0.040 0.500 0.702 x4
5 Tm 0.099 0.000 0.527 x4
6 Tm 0.235 0.000 0.792 x4

Properties
E_form: 118 meV/atom
ΔE to the lowest computed polymorph: 111.8 meV/atom
Total magnetic moment: 0.00 μB per cell

[3]
Material: La9Pr2Tm
Method: DFT, PBE-GGA
State: relaxed

Unit cell a=5.232 b=5.232 c=15.726 alpha=90.00 beta=90.00 gamma=90.00
Space group P4/mmm (No. 123)
Inequivalent atoms, fractional coordinates:
1 La 0.000 0.000 0.000 x1
2 La 0.000 0.000 0.332 x2
3 La 0.000 0.500 0.164 x4
4 La 0.000 0.500 0.500 x2
5 Pr 0.500 0.500 0.332 x2
6 Tm 0.500 0.500 0.000 x1

Properties
E_form: 6 meV/atom
Total magnetic moment: 0.00 μB per cell

[4]
Material: La8PrTm4
Method: DFT, PBE-GGA
State: relaxed

Unit cell a=7.2745 b=7.2745 c=29.7266 alpha=90.00 beta=90.00 gamma=120.00
Space group R-3m (No. 166, hexagonal axes)
Inequivalent atoms, fractional coordinates:
1 La 0.0000 0.0000 0.2114 x6
2 La 0.0334 0.5167 0.7626 x18
3 Pr 0.0000 0.0000 0.5000 x3
4 Tm 0.0000 0.0000 0.0000 x3
5 Tm 0.0000 0.5000 0.0000 x9

Properties
E_form: 156 meV/atom
Total magnetic moment: 0.00 μB per cell

[5]
Material: La5Pr6Tm2
Method: DFT, PBE-GGA
State: relaxed

Unit cell a=11.907 b=21.310 c=3.688 alpha=90.00 beta=90.00 gamma=90.00
Space group Pbam (No. 55)
Inequivalent atoms, fractional coordinates:
1 La 0.000 0.000 0.000 x2
2 La 0.086 0.271 0.000 x4
3 La 0.196 0.553 0.000 x4
4 Pr 0.063 0.417 0.500 x4
5 Pr 0.086 0.130 0.500 x4
6 Pr 0.173 0.858 0.000 x4
7 Tm 0.169 0.708 0.500 x4

Properties
E_form: 81 meV/atom
Total magnetic moment: 0.00 μB per cell

[6]
Material: LaPrTm2
Method: DFT, PBE-GGA
State: relaxed

Unit cell a=5.670 b=10.277 c=9.970 alpha=90.00 beta=103.06 gamma=90.00
Space group C2/c (No. 15)
Inequivalent atoms, fractional coordinates:
1 La 0.000 0.038 0.250 x4
2 Pr 0.000 0.295 0.750 x4
3 Tm 0.064 0.368 0.412 x8

Properties
E_form: 203 meV/atom
ΔE to the lowest computed polymorph: 185.3 meV/atom
Total magnetic moment: 0.00 μB per cell

[7]
Material: LaPr6Tm4
Method: DFT, PBE-GGA
State: relaxed

Unit cell a=11.1792 b=11.1792 c=3.6015 alpha=90.00 beta=90.00 gamma=120.00
Space group P-6m2 (No. 187)
Inequivalent atoms, fractional coordinates:
1 La 0.0000 0.0000 0.0000 x1
2 Pr 0.1833 0.3665 0.5000 x3
3 Pr 0.5240 0.0479 0.0000 x3
4 Tm 0.3248 0.1624 0.5000 x3
5 Tm 0.3333 0.6667 0.0000 x1

Properties
E_form: 152 meV/atom
Total magnetic moment: 0.00 μB per cell

[8]
Material: La4Pr3Tm4
Method: DFT, PBE-GGA
State: relaxed

Unit cell a=11.731 b=5.794 c=11.285 alpha=90.00 beta=90.00 gamma=90.00
Space group Amm2 (No. 38)
Inequivalent atoms, fractional coordinates:
1 La 0.000 0.000 0.000 x2
2 La 0.220 0.000 0.798 x4
3 La 0.500 0.000 0.023 x2
4 Pr 0.000 0.000 0.306 x2
5 Pr 0.320 0.000 0.447 x4
6 Tm 0.000 0.000 0.614 x2
7 Tm 0.253 0.000 0.136 x4
8 Tm 0.500 0.000 0.704 x2

Properties
E_form: 176 meV/atom
ΔE to the lowest computed polymorph: 151.3 meV/atom
Total magnetic moment: 0.00 μB per cell

[9]
Material: LaPr2Tm3
Method: DFT, PBE-GGA
State: relaxed

Unit cell a=20.412 b=3.640 c=12.602 alpha=90.00 beta=121.42 gamma=90.00
Space group C2/m (No. 12)
Inequivalent atoms, fractional coordinates:
1 La 0.082 0.000 0.154 x4
2 Pr 0.244 0.000 0.617 x4
3 Pr 0.250 0.000 0.125 x4
4 Tm 0.078 0.500 0.403 x4
5 Tm 0.081 0.000 0.650 x4
6 Tm 0.084 0.500 0.897 x4

Properties
E_form: 6 meV/atom
ΔE to the lowest computed polymorph: 0.0 meV/atom
Total magnetic moment: 0.00 μB per cell

[10]
Material: La12Pr6Tm
Method: DFT, PBE-GGA
State: relaxed

Unit cell a=13.6746 b=13.6746 c=13.1275 alpha=90.00 beta=90.00 gamma=120.00
Space group R-3 (No. 148, hexagonal axes)
Inequivalent atoms, fractional coordinates:
1 La 0.0005 0.7390 0.0002 x18
2 La 0.0559 0.5277 0.1113 x18
3 Pr 0.0884 0.9107 0.7705 x18
4 Tm 0.0000 0.0000 0.0000 x3

Properties
E_form: 104 meV/atom
Total magnetic moment: 0.00 μB per cell

[11]
Material: LaPr4Tm15
Method: DFT, PBE-GGA
State: relaxed

Unit cell a=5.030 b=5.030 c=24.962 alpha=90.00 beta=90.00 gamma=90.00
Space group P4/mmm (No. 123)
Inequivalent atoms, fractional coordinates:
1 La 0.000 0.000 0.000 x1
2 Pr 0.000 0.000 0.200 x2
3 Pr 0.000 0.000 0.400 x2
4 Tm 0.000 0.500 0.101 x4
5 Tm 0.000 0.500 0.300 x4
6 Tm 0.000 0.500 0.500 x2
7 Tm 0.500 0.500 0.000 x1
8 Tm 0.500 0.500 0.200 x2
9 Tm 0.500 0.500 0.400 x2

Properties
E_form: 32 meV/atom
Total magnetic moment: 0.00 μB per cell

[12]
Material: La2Pr7Tm3
Method: DFT, PBE-GGA
State: relaxed

Unit cell a=5.985 b=3.668 c=19.288 alpha=90.00 beta=93.88 gamma=90.00
Space group P2/m (No. 10)
Inequivalent atoms, fractional coordinates:
1 La 0.199 0.000 0.299 x2
2 Pr 0.171 0.500 0.143 x2
3 Pr 0.241 0.000 0.465 x2
4 Pr 0.327 0.000 0.820 x2
5 Pr 0.500 0.500 0.000 x1
6 Tm 0.000 0.000 0.000 x1
7 Tm 0.286 0.500 0.630 x2

Properties
E_form: 91 meV/atom
ΔE to the lowest computed polymorph: 27.2 meV/atom
Total magnetic moment: 0.00 μB per cell

What raw total energy values result from the calculations? In sequence: -4.636 -4.532 -4.859 -4.619 -4.708 -4.459 -4.529 -4.545 -4.644 -4.753 -4.524 -4.636 eV per atom.
What DOS at the Fermi energy values result from the calculations? In sequence: 6.12 39.47 18.89 51.30 31.40 23.97 15.43 30.02 32.62 83.48 30.41 17.02 states/eV/cell.